This record from Alexandria describes a geometry-optimized ScBeRh2 structure. The functional is PBE.

```
data_ScBeRh2
_space_group_name_H-M_alt 'P 1'
_space_group_IT_number 1
_cell_length_a 7.681
_cell_length_b 7.681
_cell_length_c 7.681
_cell_angle_alpha 22.90
_cell_angle_beta 22.90
_cell_angle_gamma 22.90
loop_
_space_group_symop_operation_xyz
'x,y,z'
loop_
_atom_site_label
_atom_site_type_symbol
_atom_site_fract_x
_atom_site_fract_y
_atom_site_fract_z
Sc1 Sc 0.496 0.496 0.496
Be1 Be 0.740 0.740 0.740
Rh1 Rh 0.016 0.016 0.016
Rh2 Rh 0.248 0.248 0.248
```

- Calculated density: 7.162 g/cm3
- Energy of formation from the pure elements: -1.69 kcal/mol of atoms
- Total magnetic moment: 0.000 μB per formula unit